#w
DFT (GGA-PBE) results for a geometry-optimized Pr4Nd2Ho structure.

Summary:
Density of states at the Fermi level in states/eV per atom: 1.3194

Cell and atoms, written as CIF:
```
data_Pr4Nd2Ho
_symmetry_space_group_name_H-M 'R -3 m'
_symmetry_Int_Tables_number 166
_symmetry_space_group_name_Hall '-R 3 2"'
_cell_length_a 3.6816
_cell_length_b 3.6816
_cell_length_c 62.8593
_cell_angle_alpha 90.00
_cell_angle_beta 90.00
_cell_angle_gamma 120.00
loop_
_atom_site_label
_atom_site_fract_x
_atom_site_fract_y
_atom_site_fract_z
Pr1 0.0000 0.0000 0.1425
Pr2 0.0000 0.0000 0.2870
Nd1 0.0000 0.0000 0.4278
Ho1 0.0000 0.0000 0.0000
```

#x
DFT (GGA-PBE) results for a geometry-optimized Pr4Nd2Ho structure.

Summary:
Density of states at the Fermi level in states/eV per atom: 1.5737

Cell and atoms, written as CIF:
```
data_Pr4Nd2Ho
_symmetry_space_group_name_H-M 'F d d 2'
_symmetry_Int_Tables_number 43
_symmetry_space_group_name_Hall 'F 2 -2d'
_cell_length_a 12.234
_cell_length_b 24.648
_cell_length_c 6.571
_cell_angle_alpha 90.00
_cell_angle_beta 90.00
_cell_angle_gamma 90.00
loop_
_atom_site_label
_atom_site_fract_x
_atom_site_fract_y
_atom_site_fract_z
Pr1 0.049 0.430 0.000
Pr2 0.063 0.357 0.472
Nd1 0.023 0.286 0.951
Ho1 0.000 0.000 0.003
```

Energy comparison, zero being the most stable, in kJ/mol of atoms: #w 0.0; #x 4.8.

#w
DFT (GGA-PBE) results for a geometry-optimized TbPrNdHo structure.

Summary:
Density of states at the Fermi level in states/eV per atom: 1.4456

Cell and atoms, written as CIF:
```
data_TbPrNdHo
_symmetry_space_group_name_H-M 'I -4 m 2'
_symmetry_Int_Tables_number 119
_symmetry_space_group_name_Hall 'I -4 -2'
_cell_length_a 5.126
_cell_length_b 5.126
_cell_length_c 10.227
_cell_angle_alpha 90.00
_cell_angle_beta 90.00
_cell_angle_gamma 90.00
loop_
_atom_site_label
_atom_site_fract_x
_atom_site_fract_y
_atom_site_fract_z
Tb1 0.000 0.000 0.000
Pr1 0.000 0.500 0.750
Nd1 0.000 0.000 0.500
Ho1 0.000 0.500 0.250
```

#x
DFT (GGA-PBE) results for a geometry-optimized TbPrNdHo structure.

Summary:
Density of states at the Fermi level in states/eV per atom: 1.9090

Cell and atoms, written as CIF:
```
data_TbPrNdHo
_symmetry_space_group_name_H-M 'F -4 3 m'
_symmetry_Int_Tables_number 216
_symmetry_space_group_name_Hall 'F -4 2 3'
_cell_length_a 8.140
_cell_length_b 8.140
_cell_length_c 8.140
_cell_angle_alpha 90.00
_cell_angle_beta 90.00
_cell_angle_gamma 90.00
loop_
_atom_site_label
_atom_site_fract_x
_atom_site_fract_y
_atom_site_fract_z
Tb1 0.000 0.000 0.000
Pr1 0.250 0.250 0.750
Nd1 0.250 0.250 0.250
Ho1 0.000 0.000 0.500
```

Energy comparison, zero being the most stable, in kJ/mol of atoms: #w 0.0; #x 9.1.

#w
DFT (GGA-PBE) results for a geometry-optimized PrNdHoTh structure.

Summary:
Density of states at the Fermi level in states/eV per atom: 2.0585

Cell and atoms, written as CIF:
```
data_PrNdHoTh
_symmetry_space_group_name_H-M 'F -4 3 m'
_symmetry_Int_Tables_number 216
_symmetry_space_group_name_Hall 'F -4 2 3'
_cell_length_a 8.140
_cell_length_b 8.140
_cell_length_c 8.140
_cell_angle_alpha 90.00
_cell_angle_beta 90.00
_cell_angle_gamma 90.00
loop_
_atom_site_label
_atom_site_fract_x
_atom_site_fract_y
_atom_site_fract_z
Pr1 0.000 0.000 0.000
Nd1 0.250 0.250 0.250
Ho1 0.250 0.250 0.750
Th1 0.000 0.000 0.500
```

#x
DFT (GGA-PBE) results for a geometry-optimized PrNdHoTh structure.

Summary:
Density of states at the Fermi level in states/eV per atom: 1.4433

Cell and atoms, written as CIF:
```
data_PrNdHoTh
_symmetry_space_group_name_H-M 'C 1 m 1'
_symmetry_Int_Tables_number 8
_cell_length_a 6.286
_cell_length_b 3.627
_cell_length_c 11.964
_cell_angle_alpha 90.00
_cell_angle_beta 100.10
_cell_angle_gamma 90.00
loop_
_symmetry_equiv_pos_as_xyz
'x,y,z'
'x,-y,z'
'x+1/2,y+1/2,z'
'x+1/2,-y+1/2,z'
loop_
_atom_site_label
_atom_site_fract_x
_atom_site_fract_y
_atom_site_fract_z
Pr1 0.000 0.000 0.000
Nd1 0.244 0.000 0.734
Ho1 0.417 0.000 0.252
Th1 0.330 0.500 0.490
```

Energy comparison, zero being the most stable, in kJ/mol of atoms: #w 14.4; #x 0.0.

#w
DFT (GGA-PBE) results for a geometry-optimized NdHo3Pt structure.

Summary:
Density of states at the Fermi level in states/eV per atom: 1.5324

Cell and atoms, written as CIF:
```
data_NdHo3Pt
_symmetry_space_group_name_H-M 'P m -3 m'
_symmetry_Int_Tables_number 221
_symmetry_space_group_name_Hall '-P 4 2 3'
_cell_length_a 5.468
_cell_length_b 5.468
_cell_length_c 5.468
_cell_angle_alpha 90.00
_cell_angle_beta 90.00
_cell_angle_gamma 90.00
loop_
_atom_site_label
_atom_site_fract_x
_atom_site_fract_y
_atom_site_fract_z
Nd1 0.000 0.000 0.000
Ho1 0.000 0.500 0.500
Pt1 0.500 0.500 0.500
```

#x
DFT (GGA-PBE) results for a geometry-optimized NdHo3Pt structure.

Summary:
Density of states at the Fermi level in states/eV per atom: 0.9787

Cell and atoms, written as CIF:
```
data_NdHo3Pt
_symmetry_space_group_name_H-M 'P m n 21'
_symmetry_Int_Tables_number 31
_cell_length_a 7.621
_cell_length_b 6.736
_cell_length_c 6.102
_cell_angle_alpha 90.00
_cell_angle_beta 90.00
_cell_angle_gamma 90.00
loop_
_symmetry_equiv_pos_as_xyz
'x,y,z'
'-x+1/2,-y,z+1/2'
'-x,y,z'
'x+1/2,-y,z+1/2'
loop_
_atom_site_label
_atom_site_fract_x
_atom_site_fract_y
_atom_site_fract_z
Nd1 0.000 0.140 0.000
Ho1 0.000 0.849 0.486
Ho2 0.244 0.305 0.497
Pt1 0.000 0.511 0.749
```

Energy comparison, zero being the most stable, in kJ/mol of atoms: #w 4.2; #x 0.0.